Record 1
An optimized crystal structure of Np2Cu12Si7, computed with PBE.

Lattice parameters (Å, degrees): 3.858 9.496 9.496 120.00 90.00 90.00
Positions (direct):
Np (0.251, 0.333, 0.667)
Np (0.749, 0.667, 0.333)
Cu (0.248, 0.619, 0.048)
Cu (0.248, 0.428, 0.381)
Cu (0.248, 0.952, 0.572)
Cu (0.752, 0.381, 0.952)
Cu (0.752, 0.572, 0.619)
Cu (0.752, 0.048, 0.428)
Cu (0.243, 0.118, 0.264)
Cu (0.243, 0.146, 0.882)
Cu (0.243, 0.736, 0.854)
Cu (0.757, 0.882, 0.736)
Cu (0.757, 0.854, 0.118)
Cu (0.757, 0.264, 0.146)
Si (0.500, 0.000, 0.000)
Si (0.252, 0.881, 0.294)
Si (0.252, 0.413, 0.119)
Si (0.252, 0.706, 0.587)
Si (0.748, 0.119, 0.706)
Si (0.748, 0.587, 0.881)
Si (0.748, 0.294, 0.413)

Summary:
Total moment ... 7.802 μB per cell
Space-group type ... P-3 (147)
Formation energy (no corrections) ... -110.7 meV per atom
N(E_F) ... 0.876 states/eV/atom

---

Record 2
An optimized crystal structure of CaBeH, computed with PBE.

Lattice parameters (Å, degrees): 4.565 5.989 6.947 90.00 90.00 112.40
Positions (direct):
Be (0.558, 0.117, 0.359)
Be (0.942, 0.883, 0.859)
Be (0.442, 0.883, 0.641)
Be (0.058, 0.117, 0.141)
Ca (0.848, 0.697, 0.431)
Ca (0.652, 0.303, 0.931)
Ca (0.152, 0.303, 0.569)
Ca (0.348, 0.697, 0.069)
H (0.246, 0.992, 0.250)
H (0.254, 0.008, 0.750)
H (0.754, 0.008, 0.750)
H (0.746, 0.992, 0.250)

Summary:
Total moment ... 0.000 μB per cell
Space-group type ... Cmce (64)
Energy ... -2.953 eV per atom
N(E_F) ... 0.197 states/eV/atom

---

Record 3
An optimized crystal structure of FeRuPt, computed with PBE.

Lattice parameters (Å, degrees): 4.037 4.037 4.037 60.00 60.00 60.00
Positions (direct):
Fe (0.750, 0.750, 0.750)
Pt (0.000, 0.000, 0.000)
Ru (0.500, 0.500, 0.500)

Summary:
Total moment ... 2.283 μB per cell
Space-group type ... F-43m (216)
Calculated formation energy ... 323.6 meV per atom
E above lowest polymorph ... 0.344 eV per atom
N(E_F) ... 0.978 states/eV/atom

---

Record 4
An optimized crystal structure of Cs4Tl5Ge, computed with PBE.

Lattice parameters (Å, degrees): 8.026 8.819 8.819 78.05 62.93 62.93
Positions (direct):
Cs (0.841, 0.654, 0.772)
Cs (0.614, 0.228, 0.654)
Cs (0.496, 0.772, 0.346)
Cs (0.268, 0.346, 0.228)
Tl (0.246, 0.711, 0.865)
Tl (0.111, 0.135, 0.711)
Tl (0.957, 0.865, 0.289)
Tl (0.823, 0.289, 0.135)
Tl (0.277, 0.000, 0.000)
Ge (0.857, 0.000, 0.000)

Summary:
Total moment ... 0.017 μB per cell
Space-group type ... I4 (79)
Calculated formation energy ... -105.5 meV per atom
N(E_F) ... 1.095 states/eV/atom

---

Record 5
An optimized crystal structure of Tm6Al2Hg, computed with PBE.

Lattice parameters (Å, degrees): 4.977 7.085 8.662 114.14 106.72 90.00
Positions (direct):
Tm (0.167, 0.417, 0.335)
Tm (0.833, 0.082, 0.665)
Tm (0.833, 0.583, 0.665)
Tm (0.500, 0.251, 0.000)
Tm (0.167, 0.918, 0.335)
Tm (0.500, 0.749, 0.000)
Al (0.667, 0.666, 0.333)
Al (0.333, 0.334, 0.667)
Hg (0.000, 0.000, 0.000)

Summary:
Total moment ... 0.000 μB per cell
Space-group type ... Immm (71)
Calculated formation energy ... -54.0 meV per atom
N(E_F) ... 1.262 states/eV/atom

---

Record 6
An optimized crystal structure of Zr2Be16H, computed with PBE.

Lattice parameters (Å, degrees): 5.670 5.670 5.670 83.27 83.27 83.27
Positions (direct):
Zr (0.667, 0.667, 0.667)
Zr (0.341, 0.341, 0.341)
Be (0.713, 0.005, 0.297)
Be (0.005, 0.297, 0.713)
Be (0.297, 0.713, 0.005)
Be (0.005, 0.713, 0.297)
Be (0.713, 0.297, 0.005)
Be (0.297, 0.005, 0.713)
Be (0.344, 0.846, 0.344)
Be (0.846, 0.344, 0.344)
Be (0.344, 0.344, 0.846)
Be (0.660, 0.161, 0.660)
Be (0.161, 0.660, 0.660)
Be (0.660, 0.660, 0.161)
Be (0.003, 0.504, 0.003)
Be (0.504, 0.003, 0.003)
Be (0.003, 0.003, 0.504)
Be (0.092, 0.092, 0.092)
H (0.844, 0.844, 0.844)

Summary:
Total moment ... 0.000 μB per cell
Space-group type ... R3m (160)
Energy ... -4.344 eV per atom
N(E_F) ... 0.170 states/eV/atom

---

Record 7
An optimized crystal structure of K2CdP, computed with PBE.

Lattice parameters (Å, degrees): 3.879 3.879 9.820 90.00 90.00 89.98
Positions (direct):
Cd (0.500, 0.500, 0.648)
K (0.000, 0.000, 0.923)
K (0.500, 0.500, 0.329)
P (0.000, 0.000, 0.600)

Summary:
Total moment ... 0.000 μB per cell
Space-group type ... P4mm (99)
Calculated formation energy ... 31.2 meV per atom
E above lowest polymorph ... 0.211 eV per atom
N(E_F) ... 0.479 states/eV/atom

---

Record 8
An optimized crystal structure of LiLa6Au5, computed with PBE.

Lattice parameters (Å, degrees): 5.280 9.363 9.363 120.68 106.38 106.38
Positions (direct):
La (0.253, 0.081, 0.425)
La (0.747, 0.575, 0.919)
La (0.765, 0.265, 0.265)
La (0.235, 0.735, 0.735)
La (0.253, 0.425, 0.081)
La (0.747, 0.919, 0.575)
Au (0.500, 0.143, 0.857)
Au (0.000, 0.330, 0.670)
Au (0.500, 0.500, 0.500)
Au (0.000, 0.670, 0.330)
Au (0.500, 0.857, 0.143)
Li (0.000, 0.000, 0.000)

Summary:
Total moment ... 0.000 μB per cell
Space-group type ... Immm (71)
Calculated formation energy ... -662.3 meV per atom
N(E_F) ... 0.773 states/eV/atom

---

Record 9
An optimized crystal structure of Cd2TcP, computed with PBE.

Lattice parameters (Å, degrees): 9.479 9.479 9.479 18.17 18.17 18.17
Positions (direct):
Cd (0.749, 0.749, 0.749)
Cd (0.251, 0.251, 0.251)
Tc (0.000, 0.000, 0.000)
P (0.500, 0.500, 0.500)

Summary:
Total moment ... 0.980 μB per cell
Space-group type ... R-3m (166)
Calculated formation energy ... 548.3 meV per atom
N(E_F) ... 0.597 states/eV/atom

---

Record 10
An optimized crystal structure of RbAcH6Au2, computed with PBE.

Lattice parameters (Å, degrees): 6.978 6.978 7.952 111.35 111.35 92.96
Positions (direct):
Rb (0.098, 0.902, 0.250)
Rb (0.902, 0.098, 0.750)
Ac (0.602, 0.398, 0.250)
Ac (0.398, 0.602, 0.750)
H (0.002, 0.599, 0.391)
H (0.401, 0.998, 0.109)
H (0.998, 0.401, 0.609)
H (0.599, 0.002, 0.891)
H (0.207, 0.236, 0.147)
H (0.764, 0.793, 0.353)
H (0.793, 0.764, 0.853)
H (0.236, 0.207, 0.647)
H (0.421, 0.632, 0.438)
H (0.368, 0.579, 0.062)
H (0.579, 0.368, 0.562)
H (0.632, 0.421, 0.938)
Au (0.431, 0.120, 0.777)
Au (0.880, 0.569, 0.723)
Au (0.569, 0.880, 0.223)
Au (0.120, 0.431, 0.277)

Summary:
Total moment ... 0.000 μB per cell
Space-group type ... C2/c (15)
Energy ... -3.427 eV per atom

---

Record 11
An optimized crystal structure of Pm3AlTl3Se8, computed with PBE.

Lattice parameters (Å, degrees): 8.398 8.397 9.027 117.63 90.06 120.01
Positions (direct):
Pm (0.500, 0.000, 0.500)
Pm (0.500, 0.500, 0.500)
Pm (0.000, 0.500, 0.500)
Al (0.000, 0.000, 0.500)
Tl (0.000, 0.000, 0.000)
Tl (0.000, 0.500, 0.000)
Tl (0.500, 0.500, 0.000)
Se (0.262, 0.524, 0.285)
Se (0.738, 0.476, 0.715)
Se (0.784, 0.569, 0.304)
Se (0.216, 0.431, 0.696)
Se (0.785, 0.019, 0.304)
Se (0.215, 0.981, 0.696)
Se (0.235, 0.019, 0.304)
Se (0.765, 0.981, 0.696)

Summary:
Total moment ... 0.000 μB per cell
Space-group type ... C2/m (12)
Formation energy (no corrections) ... -1167.6 meV per atom
N(E_F) ... 0.369 states/eV/atom

---

Record 12
An optimized crystal structure of Th3Ag2Hg7, computed with PBE.

Lattice parameters (Å, degrees): 4.114 4.864 15.528 99.05 90.00 90.00
Positions (direct):
Th (0.500, 0.500, 0.000)
Th (0.000, 0.184, 0.366)
Th (0.000, 0.816, 0.634)
Ag (0.500, 0.641, 0.280)
Ag (0.500, 0.359, 0.720)
Hg (0.500, 0.727, 0.454)
Hg (0.500, 0.273, 0.546)
Hg (0.000, 0.580, 0.156)
Hg (0.000, 0.000, 0.000)
Hg (0.000, 0.420, 0.844)
Hg (0.500, 0.912, 0.827)
Hg (0.500, 0.088, 0.173)

Summary:
Total moment ... 0.300 μB per cell
Space-group type ... P2/m (10)
Calculated formation energy ... -68.8 meV per atom
N(E_F) ... 0.889 states/eV/atom

---

Record 13
An optimized crystal structure of Pu3TlTc2, computed with PBE.

Lattice parameters (Å, degrees): 3.271 3.271 12.276 90.00 90.00 90.00
Positions (direct):
Pu (0.000, 0.000, 0.000)
Pu (0.000, 0.000, 0.709)
Pu (0.000, 0.000, 0.291)
Tl (0.500, 0.500, 0.500)
Tc (0.500, 0.500, 0.864)
Tc (0.500, 0.500, 0.136)

Summary:
Total moment ... 6.224 μB per cell
Space-group type ... P4/mmm (123)
Calculated formation energy ... 94.6 meV per atom
N(E_F) ... 3.151 states/eV/atom

---

Record 14
An optimized crystal structure of N, computed with PBE.

Lattice parameters (Å, degrees): 7.222 7.222 7.222 90.00 90.00 90.00
Positions (direct):
N (0.106, 0.106, 0.106)
N (0.106, 0.894, 0.894)
N (0.894, 0.106, 0.894)
N (0.894, 0.894, 0.106)
N (0.894, 0.894, 0.894)
N (0.894, 0.106, 0.106)
N (0.106, 0.894, 0.106)
N (0.106, 0.106, 0.894)
N (0.606, 0.606, 0.606)
N (0.606, 0.394, 0.394)
N (0.394, 0.606, 0.394)
N (0.394, 0.394, 0.606)
N (0.394, 0.394, 0.394)
N (0.394, 0.606, 0.606)
N (0.606, 0.394, 0.606)
N (0.606, 0.606, 0.394)

Summary:
Total moment ... 0.000 μB per cell
Space-group type ... Im-3m (229)
Formation energy (no corrections) ... 2076.2 meV per atom
E above lowest polymorph ... 2.076 eV per atom
N(E_F) ... 0.000 states/eV/atom

---

Record 15
An optimized crystal structure of DyMg4Tl5, computed with PBE.

Lattice parameters (Å, degrees): 3.688 3.688 18.449 90.00 90.00 90.00
Positions (direct):
Dy (0.000, 0.000, 0.000)
Mg (0.000, 0.000, 0.205)
Mg (0.000, 0.000, 0.401)
Mg (0.000, 0.000, 0.599)
Mg (0.000, 0.000, 0.795)
Tl (0.500, 0.500, 0.108)
Tl (0.500, 0.500, 0.303)
Tl (0.500, 0.500, 0.500)
Tl (0.500, 0.500, 0.697)
Tl (0.500, 0.500, 0.892)

Summary:
Total moment ... 0.000 μB per cell
Space-group type ... P4/mmm (123)
Calculated formation energy ... -92.3 meV per atom
N(E_F) ... 0.452 states/eV/atom

---

Record 16
An optimized crystal structure of Hg2GeBiAs, computed with PBE.

Lattice parameters (Å, degrees): 5.155 5.272 5.155 90.00 90.00 90.00
Positions (direct):
As (0.000, 0.500, 0.000)
Ge (0.000, 0.000, 0.000)
Bi (0.500, 0.500, 0.500)
Hg (0.000, 0.000, 0.500)
Hg (0.500, 0.000, 0.000)

Summary:
Total moment ... 0.000 μB per cell
Space-group type ... P4/mmm (123)
Calculated formation energy ... 435.0 meV per atom
N(E_F) ... 0.550 states/eV/atom

---

Record 17
An optimized crystal structure of CsScSe2, computed with PBE.

Lattice parameters (Å, degrees): 7.961 5.181 12.571 90.00 90.00 90.00
Positions (direct):
Cs (0.391, 0.250, 0.377)
Cs (0.109, 0.750, 0.877)
Cs (0.609, 0.750, 0.623)
Cs (0.891, 0.250, 0.123)
Sc (0.055, 0.250, 0.619)
Sc (0.445, 0.750, 0.119)
Sc (0.945, 0.750, 0.381)
Sc (0.555, 0.250, 0.881)
Se (0.878, 0.250, 0.437)
Se (0.622, 0.750, 0.937)
Se (0.122, 0.750, 0.563)
Se (0.378, 0.250, 0.063)
Se (0.341, 0.250, 0.732)
Se (0.159, 0.750, 0.232)
Se (0.659, 0.750, 0.268)
Se (0.841, 0.250, 0.768)

Summary:
Total moment ... 0.000 μB per cell
Space-group type ... Pnma (62)
Formation energy (no corrections) ... -1536.8 meV per atom
N(E_F) ... 0.000 states/eV/atom

---

Record 18
An optimized crystal structure of Ac3Mg3Pb2, computed with PBE.

Lattice parameters (Å, degrees): 5.003 6.627 17.172 90.00 90.00 112.18
Positions (direct):
Ac (0.923, 0.846, 0.391)
Ac (0.077, 0.154, 0.891)
Ac (0.923, 0.846, 0.109)
Ac (0.077, 0.154, 0.609)
Ac (0.644, 0.289, 0.250)
Ac (0.356, 0.711, 0.750)
Mg (0.622, 0.245, 0.465)
Mg (0.378, 0.755, 0.965)
Mg (0.622, 0.245, 0.035)
Mg (0.378, 0.755, 0.535)
Mg (0.363, 0.725, 0.250)
Mg (0.637, 0.275, 0.750)
Pb (0.788, 0.576, 0.892)
Pb (0.212, 0.424, 0.392)
Pb (0.788, 0.576, 0.608)
Pb (0.212, 0.424, 0.108)

Summary:
Total moment ... 0.918 μB per cell
Space-group type ... Cmcm (63)
Calculated formation energy ... -314.7 meV per atom
N(E_F) ... 0.791 states/eV/atom

---

Record 19
An optimized crystal structure of KFePt2, computed with PBE.

Lattice parameters (Å, degrees): 5.928 5.928 5.928 152.77 126.96 60.63
Positions (direct):
Fe (0.750, 0.250, 0.500)
K (0.250, 0.750, 0.500)
Pt (0.956, 0.956, 0.000)
Pt (0.544, 0.544, 0.000)

Summary:
Total moment ... 3.635 μB per cell
Space-group type ... Immm (71)
Calculated formation energy ... 328.7 meV per atom
E above lowest polymorph ... 0.326 eV per atom
N(E_F) ... 0.976 states/eV/atom

---

Record 20
An optimized crystal structure of ScIn2Rh, computed with PBE.

Lattice parameters (Å, degrees): 5.058 5.058 5.058 128.16 128.16 76.37
Positions (direct):
In (0.000, 0.000, 0.000)
In (0.250, 0.750, 0.500)
Rh (0.500, 0.500, 0.000)
Sc (0.750, 0.250, 0.500)

Summary:
Total moment ... 0.000 μB per cell
Space-group type ... I-4m2 (119)
Calculated formation energy ... -387.1 meV per atom
N(E_F) ... 0.611 states/eV/atom